The following is a DFT calculation (PBE) of crystalline Cu2PbW at its relaxed geometry.

## Properties
ρ = 12.8 g/cm3
Magnetization = 0.0 μB per formula unit
Formation energy = 0.607 eV/atom
DFT total energy = -5.61 eV/atom

Cell: 2.9777 3.8554 5.8468 Å, 90.00 90.21 90.00°
Atoms (fractional coordinates):
1 Cu 0.0024 0.0000 0.2916
2 Cu 0.9976 0.0000 0.7084
3 Pb 0.5000 0.5000 0.0000
4 W 0.5000 0.5000 0.5000

=====

The following is a DFT calculation (PBE) of crystalline Cu2PbW at its relaxed geometry.

## Properties
ρ = 12.8 g/cm3
Magnetization = 0.0 μB per formula unit
Formation energy = 0.684 eV/atom
DFT total energy = -5.53 eV/atom

Cell: 2.9141 4.1717 5.6203 Å, 90.00 100.56 90.00°
Atoms (fractional coordinates):
1 Cu 0.0000 0.0000 0.0000
2 Cu 0.0817 0.5000 0.2402
3 Pb 0.7473 0.0000 0.4995
4 W 0.4282 0.5000 0.8228

=====

The following is a DFT calculation (PBE) of crystalline Cu2PbW at its relaxed geometry.

## Properties
ρ = 13.0 g/cm3
Magnetization = 0.5 μB per formula unit
Formation energy = 0.857 eV/atom
DFT total energy = -5.36 eV/atom

Cell: 4.9726 4.9726 4.9726 Å, 132.24 132.24 69.84°
Atoms (fractional coordinates):
1 Cu 0.2500 0.7500 0.5000
2 Cu 0.7500 0.2500 0.5000
3 Pb 0.0000 0.0000 0.0000
4 W 0.5000 0.5000 0.0000